Record 1
{"formula": "CaGa5Rh2", "functional": "GGA-PBE", "state": "optimized geometry", "dos_at_fermi_per_ev_cell": 3.354, "energy_ev_per_cell": -36.23, "delta_e_f_kj_per_mol_fu": -423, "lattice": [[-3.765, 0.703, 0.510], [-3.274, -3.833, -4.252], [-2.591, -5.341, 2.873]], "species": ["Ca", "Ga", "Ga", "Ga", "Ga", "Ga", "Rh", "Rh"], "frac_coords": [[0.000, 0.000, 0.000], [0.000, 0.500, 0.500], [0.644, 0.557, 0.154], [0.356, 0.443, 0.846], [0.356, 0.846, 0.443], [0.644, 0.154, 0.557], [0.763, 0.737, 0.737], [0.237, 0.263, 0.263]]}


Record 2
{"formula": "Sc2InBr", "functional": "GGA-PBE", "state": "optimized geometry", "raw_formation_energy_ev_per_fu": -2.440, "de_polymorph_kcal_per_mol_atoms": 0.00, "dos_at_fermi_per_ev_cell": 2.741, "energy_ev_per_cell": -19.51, "lattice": [[3.439, 0.000, 0.000], [0.000, 3.569, -0.036], [0.000, 0.079, 8.016]], "species": ["Br", "In", "Sc", "Sc"], "frac_coords": [[0.500, 0.250, 0.250], [0.500, 0.750, 0.750], [0.000, 0.250, 0.972], [0.000, 0.250, 0.528]]}


Record 3
{"formula": "Tb5NiAg4", "functional": "GGA-PBE", "state": "optimized geometry", "dos_at_fermi_per_ev_cell": 6.675, "energy_ev_per_cell": -43.55, "delta_e_f_kj_per_mol_fu": -310, "lattice": [[3.577, 0.000, 0.000], [0.000, 3.577, 0.000], [0.000, 0.000, 18.327]], "species": ["Tb", "Tb", "Tb", "Tb", "Tb", "Ni", "Ag", "Ag", "Ag", "Ag"], "frac_coords": [[0.500, 0.500, 0.088], [0.500, 0.500, 0.294], [0.500, 0.500, 0.500], [0.500, 0.500, 0.706], [0.500, 0.500, 0.912], [0.000, 0.000, 0.000], [0.000, 0.000, 0.193], [0.000, 0.000, 0.397], [0.000, 0.000, 0.603], [0.000, 0.000, 0.807]]}